Entry 1:
A plane-wave DFT calculation with PBE was carried out for an optimized crystal structure of ScCuIr2.

POSCAR file:
```
ScCuIr2
1.0
8.570 -0.013 -0.007
8.080 2.857 -0.007
8.080 1.380 2.501
Sc Cu Ir
1 1 2
Cartesian
6.183 1.056 0.622
18.548 3.168 1.865
12.337 2.107 1.240
0.029 0.005 0.003
```

## Properties
V	61.7	Å³ per cell
symmetry	No. 166
total DFT energy (no corrections)	-7.180	eV per atom


Entry 2:
A plane-wave DFT calculation with PBE was carried out for an optimized crystal structure of KHo2Tm.

POSCAR file:
```
KHo2Tm
1.0
-0.363 0.220 3.520
2.578 -1.187 2.126
6.353 11.575 1.717
Ho K Tm
2 1 1
Cartesian
4.727 8.131 1.765
3.840 2.477 5.598
0.000 0.000 0.000
4.284 5.304 3.682
```

## Properties
V	143.2	Å³ per cell
symmetry	No. 166
total DFT energy (no corrections)	-3.435	eV per atom


Entry 3:
A plane-wave DFT calculation with PBE was carried out for an optimized crystal structure of Li2CaHg.

POSCAR file:
```
Li2CaHg
1.0
5.493 -0.136 0.171
3.950 3.819 0.171
1.996 0.778 4.300
Hg Li Ca
1 2 1
Cartesian
8.579 3.346 3.482
2.115 0.825 4.237
5.601 2.184 2.384
2.860 1.115 1.161
```

## Properties
V	91.0	Å³ per cell
symmetry	No. 12
total DFT energy (no corrections)	-1.781	eV per atom


Entry 4:
A plane-wave DFT calculation with PBE was carried out for an optimized crystal structure of PmHfS2.

POSCAR file:
```
PmHfS2
1.0
3.825 0.000 0.000
1.913 3.313 0.000
1.913 1.104 6.279
S Pm Hf
2 1 1
Cartesian
1.913 1.104 1.385
5.738 3.313 4.894
3.825 2.209 3.140
0.000 0.000 0.000
```

## Properties
V	79.6	Å³ per cell
symmetry	No. 166
formation energy from raw total energies	-1.5793	eV/atom


Entry 5:
A plane-wave DFT calculation with PBE was carried out for an optimized crystal structure of AcPrAgRh.

POSCAR file:
```
AcPrAgRh
1.0
5.302 0.000 0.000
2.651 4.592 0.000
2.651 1.531 4.329
Ac Pr Rh Ag
1 1 1 1
Cartesian
0.000 0.000 0.000
5.302 3.061 2.164
7.953 4.592 3.247
2.651 1.531 1.082
```

## Properties
V	105.4	Å³ per cell
symmetry	No. 216
total DFT energy (no corrections)	-5.155	eV per atom


Entry 6:
A plane-wave DFT calculation with PBE was carried out for an optimized crystal structure of CsHCl3.

POSCAR file:
```
CsHCl3
1.0
7.395 0.000 0.000
0.000 7.395 0.000
3.698 3.698 5.299
H Cs Cl
2 2 6
Cartesian
3.698 3.698 0.000
0.000 0.000 0.000
3.698 7.395 2.649
7.395 3.698 2.649
2.295 2.295 0.000
7.395 7.395 1.571
5.101 2.295 0.000
3.698 3.698 3.728
5.101 5.101 0.000
2.295 5.101 0.000
```

## Properties
V	289.8	Å³ per cell
symmetry	No. 139
total DFT energy (no corrections)	-2.640	eV per atom


Entry 7:
A plane-wave DFT calculation with PBE was carried out for an optimized crystal structure of Li2ScZnAg.

POSCAR file:
```
Li2ScZnAg
1.0
-1.258 -0.039 -4.421
-2.750 -3.999 0.818
-3.599 2.680 1.000
Zn Li Ag Sc
1 2 1 1
Cartesian
-1.375 -1.999 0.409
-0.629 -0.020 -2.211
-1.799 1.340 0.500
0.000 0.000 0.000
-3.803 -0.679 -1.302
```

## Properties
V	104.0	Å³ per cell
symmetry	No. 123
total DFT energy (no corrections)	-2.623	eV per atom


Entry 8:
A plane-wave DFT calculation with PBE was carried out for an optimized crystal structure of TlV4Ru2.

POSCAR file:
```
TlV4Ru2
1.0
4.901 0.000 0.000
0.000 4.901 0.000
2.451 2.451 6.169
V Ru Tl
4 2 1
Cartesian
2.451 0.000 0.000
2.451 2.451 3.471
4.901 4.901 2.698
0.000 2.451 0.000
4.901 4.901 4.850
2.451 2.451 1.319
0.000 0.000 0.000
```

## Properties
V	148.2	Å³ per cell
symmetry	No. 139
total DFT energy (no corrections)	-6.712	eV per atom


Number 1: DOS at the Fermi energy 4.00 states/eV/f.u., ρ 13.27 g/cm³. Number 2: DOS at the Fermi energy 3.73 states/eV/f.u., ρ 6.24 g/cm³. Number 3: DOS at the Fermi energy 2.25 states/eV/f.u., ρ 4.65 g/cm³. Number 4: DOS at the Fermi energy 1.92 states/eV/f.u., ρ 8.09 g/cm³. Number 5: DOS at the Fermi energy 3.88 states/eV/f.u., ρ 9.12 g/cm³. Number 6: DOS at the Fermi energy 0.15 states/eV/f.u., ρ 2.75 g/cm³. Number 7: DOS at the Fermi energy 4.30 states/eV/f.u., ρ 3.71 g/cm³. Number 8: DOS at the Fermi energy 11.18 states/eV/f.u., ρ 6.84 g/cm³.